Record 1
Below is K3PSe4 at its PBEsol-relaxed geometry, with properties calculated at the SCAN level.

extended XYZ file:
```
32
Lattice="9.246 0.000 0.000 0.000 9.642 0.000 0.000 0.000 10.785" Properties=species:S:1:pos:R:3 pbc="T T T"
Se 6.011 9.354 0.861
P 7.149 0.235 2.696
Se 6.011 9.354 4.532
Se 4.471 5.680 2.696
Se 1.388 5.108 4.532
K 8.683 7.770 10.306
P 2.097 9.406 8.089
K 5.185 2.949 0.479
Se 7.858 4.534 9.924
K 0.562 1.871 4.914
Se 7.536 2.413 2.696
Se 2.913 2.408 2.696
Se 1.710 7.229 8.089
Se 0.152 0.859 8.089
P 2.526 4.586 2.696
K 5.973 0.804 8.089
K 3.273 8.837 2.696
Se 7.858 4.534 6.253
K 4.061 6.692 10.306
K 4.061 6.692 5.871
K 1.350 4.017 8.089
Se 3.235 0.287 9.924
K 5.185 2.949 4.914
K 7.895 5.625 2.696
K 0.562 1.871 0.479
Se 1.388 5.108 0.861
Se 4.774 3.961 8.089
P 6.720 5.056 8.089
K 8.683 7.770 5.871
Se 6.332 7.233 8.089
Se 9.094 8.782 2.696
Se 3.235 0.287 6.253
```

Properties
* formation energy (no corrections): -1.03 eV/atom
* density: 3.2 g/cm³

***

Record 2
Below is K2PSe at its PBEsol-relaxed geometry, with properties calculated at the SCAN level.

extended XYZ file:
```
4
Lattice="-1.691 4.493 -2.160 -1.833 0.021 -4.935 -5.137 0.719 -0.897" Properties=species:S:1:pos:R:3 pbc="T T T"
K 0.000 0.000 0.000
P -4.330 2.617 -3.996
Se -2.165 1.308 -1.998
K -6.496 3.925 -5.994
```

Properties
* distance to the lowest polymorph of the same formula: 316 meV/atom
* formation energy (no corrections): -0.10 eV/atom
* density: 3.0 g/cm³

***

Record 3
Below is KPSe2 at its PBEsol-relaxed geometry, with properties calculated at the SCAN level.

extended XYZ file:
```
16
Lattice="-0.240 2.912 5.525 -5.663 -2.687 -1.026 7.134 -8.829 4.004" Properties=species:S:1:pos:R:3 pbc="T T T"
P 6.309 -7.598 4.863
P 1.144 -6.907 3.064
Se -1.101 0.150 4.400
P -5.079 -1.007 3.640
Se 0.480 -7.954 7.159
Se 1.845 -4.073 6.560
Se 0.751 -0.651 1.344
K 3.533 -6.790 6.772
K 2.137 -3.393 3.206
P 0.086 -1.697 5.439
Se 2.035 -0.521 5.473
K -2.303 -1.815 1.730
Se -0.805 -8.083 3.030
K -0.906 -5.211 5.296
Se 2.331 -8.754 4.103
Se -0.614 -4.531 1.943
```

Properties
* formation energy (no corrections): -0.63 eV/atom
* density: 3.5 g/cm³

***

Record 4
Below is KPSe3 at its PBEsol-relaxed geometry, with properties calculated at the SCAN level.

extended XYZ file:
```
30
Lattice="-6.860 2.208 -0.033 2.427 -4.302 -5.249 -4.903 -15.083 10.094" Properties=species:S:1:pos:R:3 pbc="T T T"
Se -0.862 -6.476 -1.287
P -6.458 0.920 0.168
Se -1.466 -1.507 -0.844
K -0.490 -3.736 -3.073
Se -4.245 -14.421 7.592
Se -9.677 -10.478 6.797
Se -7.976 -7.559 6.054
K -2.527 -7.951 1.310
Se -4.901 -0.501 -0.266
P -8.257 -16.366 4.618
Se -4.165 -5.249 -2.006
Se -6.271 -11.409 6.111
K -6.741 -9.248 3.502
P 0.416 -8.029 -2.054
Se -4.307 -3.008 -2.776
K -5.046 -13.342 3.702
Se -1.801 -11.966 0.776
K -7.583 -13.847 7.892
Se -3.815 -6.408 4.054
Se -6.167 -16.119 5.070
K -5.622 -3.407 1.103
P -4.335 -10.891 6.893
Se -6.228 -6.758 1.410
Se -1.841 -14.101 3.498
P -6.216 -7.492 -0.613
P -3.161 -9.672 5.425
Se -3.581 -10.267 3.400
Se -9.656 -15.095 5.648
Se -2.578 -4.659 1.338
Se -4.493 -8.610 -1.257
```

Properties
* formation energy (no corrections): -0.63 eV/atom
* density: 3.6 g/cm³

***

Record 5
Below is K2PSe at its PBEsol-relaxed geometry, with properties calculated at the SCAN level.

extended XYZ file:
```
4
Lattice="-0.154 2.733 3.478 1.772 -3.150 2.554 3.620 1.827 -4.092" Properties=species:S:1:pos:R:3 pbc="T T T"
K 3.101 -0.766 0.739
P 0.000 0.000 0.000
K 2.138 2.176 1.201
Se 0.809 -0.209 3.016
```

Properties
* distance to the lowest polymorph of the same formula: 45 meV/atom
* formation energy (no corrections): -0.37 eV/atom
* density: 3.3 g/cm³

***

Record 6
Below is KPSe2 at its PBEsol-relaxed geometry, with properties calculated at the SCAN level.

extended XYZ file:
```
4
Lattice="-0.427 -2.993 1.515 3.342 -0.247 0.453 -0.662 3.548 6.822" Properties=species:S:1:pos:R:3 pbc="T T T"
K 1.458 -1.620 0.984
P 1.127 0.154 4.395
Se -0.200 1.073 2.062
Se -0.462 2.476 4.760
```

Properties
* formation energy (no corrections): 0.08 eV/atom
* density: 4.3 g/cm³

***

Record 7
Below is KP2Se4 at its PBEsol-relaxed geometry, with properties calculated at the SCAN level.

extended XYZ file:
```
14
Lattice="6.184 -0.054 0.183 1.762 6.694 0.166 0.992 0.076 8.941" Properties=species:S:1:pos:R:3 pbc="T T T"
P 4.386 2.471 1.828
Se 6.325 1.269 8.283
Se 6.485 1.917 2.627
Se 5.742 6.113 6.949
Se 3.197 0.603 2.341
P 4.552 4.244 7.462
P 7.600 5.773 8.682
Se 2.613 5.446 1.007
K 1.932 1.528 5.384
Se 4.947 2.802 5.637
Se 2.454 4.798 6.663
Se 3.991 3.913 3.653
K 7.007 5.187 3.907
P 1.339 0.943 0.609
```

Properties
* formation energy (no corrections): -0.37 eV/atom
* density: 3.7 g/cm³

***

Record 8
Below is KPSe2 at its PBEsol-relaxed geometry, with properties calculated at the SCAN level.

extended XYZ file:
```
4
Lattice="-4.673 1.327 0.376 1.220 -2.399 -4.062 1.525 -3.373 3.169" Properties=species:S:1:pos:R:3 pbc="T T T"
Se -1.041 -1.979 -2.066
P 1.372 -2.886 -0.446
K 0.000 0.000 0.000
Se -0.888 -2.466 1.549
```

Properties
* formation energy (no corrections): 0.21 eV/atom
* density: 4.4 g/cm³

***

> Which value of density does entry 2 give?

3.0 g/cm³

***

> What is the formation energy (no corrections) in the second record?

-0.10 eV/atom